This record from Alexandria describes an optimized crystal structure of ReSiOs2. The functional is PBE-GGA.

Unit cell a=4.666 b=4.666 c=4.618 alpha=83.52 beta=83.52 gamma=34.63
Element x y z (fractional)
Os 0.008 0.008 0.001
Re 0.750 0.750 0.750
Os 0.492 0.492 0.499
Si 0.250 0.250 0.250

Values from the calculation:
Total magnetization = 0.0 μB/cell
Formation energy from raw total energies = 0.1124 eV/atom

***

This record from Alexandria describes an optimized crystal structure of Sm2Tl3CrTe6. The functional is PBE-GGA.

Unit cell a=7.610 b=7.610 c=8.488 alpha=98.61 beta=98.61 gamma=120.01
Element x y z (fractional)
Te 0.232 0.232 0.785
Te 0.067 0.370 0.204
Te 0.768 0.768 0.215
Sm 0.335 0.665 0.000
Tl 0.500 0.500 0.500
Te 0.370 0.067 0.204
Tl 0.821 0.179 0.500
Te 0.630 0.933 0.796
Cr 0.000 0.000 0.000
Sm 0.665 0.335 0.000
Te 0.933 0.630 0.796
Tl 0.179 0.821 0.500

Values from the calculation:
Total magnetization = 3.0 μB/cell
Formation energy from raw total energies = -0.7452 eV/atom

***

This record from Alexandria describes an optimized crystal structure of Mn5Mo. The functional is PBE-GGA.

Unit cell a=4.818 b=4.818 c=6.043 alpha=74.12 beta=74.12 gamma=31.53
Element x y z (fractional)
Mo 0.290 0.290 0.933
Mn 0.013 0.013 0.017
Mn 0.644 0.644 0.667
Mn 0.325 0.325 0.354
Mn 0.609 0.609 0.281
Mn 0.952 0.952 0.581

Values from the calculation:
Energy of formation from the pure elements = 0.9 eV per formula unit
Total magnetization = 0.2 μB/cell

***

This record from Alexandria describes an optimized crystal structure of BaPmSe2. The functional is PBE-GGA.

Unit cell a=4.367 b=4.367 c=7.856 alpha=73.86 beta=73.86 gamma=60.00
Element x y z (fractional)
Ba 0.500 0.500 0.500
Se 0.260 0.260 0.220
Se 0.740 0.740 0.780
Pm 0.000 0.000 0.000

Values from the calculation:
Total magnetization = 0.0 μB/cell
Formation energy from raw total energies = -1.9134 eV/atom